# 1
A plane-wave DFT calculation with PBE was carried out for crystalline La12CdPb4N3 at its relaxed geometry.

Structure (extended XYZ):
```
20
Lattice="-5.3109 5.3109 5.3109 5.3109 -5.3109 5.3109 5.3109 5.3109 -5.3109" Properties=species:S:1:pos:R:3 pbc="T T T"
La 2.9544 0.0000 0.0000
La 7.6674 0.0000 0.0000
La 5.3109 2.6554 0.0000
La 5.3109 0.0000 2.6554
La 0.0000 2.9544 0.0000
La 0.0000 0.0000 2.9544
La 2.6554 5.3109 0.0000
La 2.6554 0.0000 5.3109
La 0.0000 7.6674 0.0000
La 0.0000 0.0000 7.6674
La 0.0000 5.3109 2.6554
La 0.0000 2.6554 5.3109
Cd 0.0000 0.0000 0.0000
Pb 2.6554 2.6554 -2.6554
Pb 2.6554 -2.6554 2.6554
Pb -2.6554 2.6554 2.6554
Pb 2.6554 2.6554 2.6554
N 5.3109 0.0000 0.0000
N 0.0000 5.3109 0.0000
N 0.0000 0.0000 5.3109
```

Results
* crystal system: cubic
* density of states at the Fermi level: 0.7369 states/eV per atom
* DFT total energy: -5.651 eV per atom
* ΔE_f (raw): -658 meV per atom

# 2
A plane-wave DFT calculation with PBE was carried out for crystalline KY2IrO8 at its relaxed geometry.

Structure (extended XYZ):
```
12
Lattice="4.1111 0.0000 0.0000 0.0573 5.2993 0.0000 1.8552 0.0303 6.9485" Properties=species:S:1:pos:R:3 pbc="T T T"
K 0.0000 0.0000 0.0000
Y 2.1298 2.7364 1.9922
Y 3.8938 2.5932 4.9563
Ir 0.9276 0.0152 3.4742
O 0.7684 2.6187 0.0207
O 1.8661 1.7007 4.0610
O 2.0721 4.1606 4.4609
O 2.0265 5.0581 1.8730
O 3.9971 0.2715 5.0755
O 3.9515 1.1690 2.4876
O 4.1575 3.6289 2.8875
O 5.2553 2.7109 6.9278
```

Results
* crystal system: triclinic
* density of states at the Fermi level: 0.4055 states/eV per atom
* DFT total energy: -7.006 eV per atom
* ΔE_f (raw): -1794 meV per atom

# 3
A plane-wave DFT calculation with PBE was carried out for crystalline InWSe at its relaxed geometry.

Structure (extended XYZ):
```
3
Lattice="4.5273 0.0000 0.0000 -2.2637 3.9208 0.0000 0.0000 0.0000 3.2235" Properties=species:S:1:pos:R:3 pbc="T T T"
In 0.0000 0.0000 0.0000
W 0.0000 2.6138 1.6117
Se 2.2637 1.3069 1.6117
```

Results
* crystal system: hexagonal
* density of states at the Fermi level: 1.1467 states/eV per atom
* DFT total energy: -5.851 eV per atom
* ΔE_f (raw): 541 meV per atom

# 4
A plane-wave DFT calculation with PBE was carried out for crystalline Cs5K6Rb2 at its relaxed geometry.

Structure (extended XYZ):
```
13
Lattice="6.3814 3.6843 11.8042 -6.3814 3.6843 11.8042 0.0000 -7.3686 11.8042" Properties=species:S:1:pos:R:3 pbc="T T T"
Cs 0.0000 0.0000 0.0000
Cs 0.0000 0.0000 9.1769
Cs 0.0000 0.0000 14.7692
Cs 0.0000 0.0000 20.6434
Cs 0.0000 0.0000 26.2357
K -2.1059 -3.6475 17.7063
K -4.2118 0.0000 17.7063
K 2.1059 -3.6475 17.7063
K -2.1059 3.6475 17.7063
K 4.2118 0.0000 17.7063
K 2.1059 3.6475 17.7063
Rb 0.0000 0.0000 4.3310
Rb 0.0000 0.0000 31.0816
```

Results
* crystal system: trigonal
* density of states at the Fermi level: 1.1664 states/eV per atom
* energy relative to the elements: 0.1435 eV/atom
* DFT total energy: -0.840 eV per atom

# 5
A plane-wave DFT calculation with PBE was carried out for crystalline AsSeS at its relaxed geometry.

Structure (extended XYZ):
```
6
Lattice="5.6055 -1.9141 0.0000 5.6055 1.9141 0.0000 -5.5271 0.0000 6.9295" Properties=species:S:1:pos:R:3 pbc="T T T"
As 1.7819 0.0000 1.1997
As 3.9020 0.0000 5.7297
Se 4.1559 0.0000 0.7821
Se 1.5281 0.0000 6.1473
S -1.8418 0.0000 3.9167
S 7.5257 0.0000 3.0127
```

Results
* crystal system: monoclinic
* density of states at the Fermi level: 0.0556 states/eV per atom
* DFT total energy: -4.102 eV per atom
* ΔE_f (raw): -15 meV per atom

# 6
A plane-wave DFT calculation with PBE was carried out for crystalline K8BrCl3O2 at its relaxed geometry.

Structure (extended XYZ):
```
14
Lattice="8.0967 0.0000 0.0000 -4.0483 7.0119 0.0000 0.0000 0.0000 9.2667" Properties=species:S:1:pos:R:3 pbc="T T T"
K 0.0000 2.5238 2.6669
K -1.8626 5.7500 2.6669
K 0.0000 4.6746 8.4284
K 2.1857 1.2619 6.5998
K 1.8626 5.7500 2.6669
K 4.0483 2.3373 0.8384
K 5.9110 1.2619 6.5998
K 4.0483 4.4881 6.5998
Br 0.0000 0.0000 4.6334
Cl 0.0000 0.0000 0.0000
Cl 0.0000 4.6746 5.3842
Cl 4.0483 2.3373 3.8825
O 0.0000 4.6746 1.5232
O 4.0483 2.3373 7.7435
```

Results
* crystal system: trigonal
* DFT total energy: -3.242 eV per atom
* ΔE_f (raw): -1392 meV per atom

# 7
A plane-wave DFT calculation with PBE was carried out for crystalline Sr2CuOs at its relaxed geometry.

Structure (extended XYZ):
```
4
Lattice="3.4913 0.0000 0.0000 0.0000 3.4913 0.0000 0.0000 0.0000 8.7471" Properties=species:S:1:pos:R:3 pbc="T T T"
Sr 0.0000 0.0000 0.0000
Sr 1.7456 1.7456 3.7324
Cu 0.0000 0.0000 5.8670
Os 1.7456 1.7456 6.6099
```

Results
* crystal system: tetragonal
* density of states at the Fermi level: 1.3075 states/eV per atom
* energy relative to the elements: 0.4867 eV/atom
* DFT total energy: -4.186 eV per atom

# 8
A plane-wave DFT calculation with PBE was carried out for crystalline Li3PuCl8 at its relaxed geometry.

Structure (extended XYZ):
```
12
Lattice="6.6786 -3.8542 0.0000 6.6786 3.8542 0.0000 -4.5614 0.0000 6.3874" Properties=species:S:1:pos:R:3 pbc="T T T"
Li 0.0000 0.0000 0.0000
Li 3.3393 1.9271 0.0000
Li 3.3393 -1.9271 0.0000
Pu 6.6786 0.0000 0.0000
Cl 2.2250 0.0000 1.0023
Cl 3.1492 1.7894 4.9145
Cl 0.0496 0.0000 4.9174
Cl 5.6465 1.7894 1.4730
Cl 3.1492 -1.7894 4.9145
Cl 8.7461 0.0000 1.4701
Cl 5.6465 -1.7894 1.4730
Cl 6.5707 0.0000 5.3852
```

Results
* crystal system: monoclinic
* density of states at the Fermi level: 0.8453 states/eV per atom
* DFT total energy: -4.454 eV per atom
* ΔE_f (raw): -1550 meV per atom

# 9
A plane-wave DFT calculation with PBE was carried out for crystalline CuPbSe2 at its relaxed geometry.

Structure (extended XYZ):
```
4
Lattice="3.9446 0.0000 0.0000 0.0000 3.9446 0.0000 0.0000 0.0000 5.9329" Properties=species:S:1:pos:R:3 pbc="T T T"
Cu 0.0000 0.0000 0.0000
Pb 1.9723 1.9723 0.0000
Se 0.0000 1.9723 2.9665
Se 1.9723 0.0000 2.9665
```

Results
* crystal system: tetragonal
* density of states at the Fermi level: 0.5266 states/eV per atom
* DFT total energy: -3.375 eV per atom
* ΔE_f (raw): 319 meV per atom

# 10
A plane-wave DFT calculation with PBE was carried out for crystalline PrPd2Au2 at its relaxed geometry.

Structure (extended XYZ):
```
10
Lattice="-2.0294 2.0294 12.7387 2.0294 -2.0294 12.7387 2.0294 2.0294 -12.7387" Properties=species:S:1:pos:R:3 pbc="T T T"
Pr 0.0000 0.0000 3.1481
Pr 0.0000 0.0000 22.3292
Pd 2.0294 0.0000 6.3693
Pd 0.0000 0.0000 10.8372
Pd 0.0000 0.0000 14.6401
Pd 0.0000 2.0294 6.3693
Au 2.0294 0.0000 0.0000
Au 0.0000 0.0000 8.2122
Au 0.0000 2.0294 0.0000
Au 0.0000 0.0000 17.2652
```

Results
* crystal system: tetragonal
* density of states at the Fermi level: 0.4897 states/eV per atom
* energy relative to the elements: -0.5060 eV/atom
* DFT total energy: -4.850 eV per atom

# 11
A plane-wave DFT calculation with PBE was carried out for crystalline Cr2Cd at its relaxed geometry.

Structure (extended XYZ):
```
3
Lattice="-1.2851 2.0920 3.9973 1.2851 -2.0920 3.9973 1.2851 2.0920 -3.9973" Properties=species:S:1:pos:R:3 pbc="T T T"
Cr 0.0000 0.0000 1.3210
Cr 0.0000 0.0000 6.6737
Cd 0.0000 0.0000 3.9973
```

Results
* crystal system: orthorhombic
* density of states at the Fermi level: 0.4896 states/eV per atom
* energy relative to the elements: 0.6685 eV/atom
* DFT total energy: -6.052 eV per atom

# 12
A plane-wave DFT calculation with PBE was carried out for crystalline Dy2Ge4Pd3Au at its relaxed geometry.

Structure (extended XYZ):
```
10
Lattice="4.2766 0.0000 0.0000 0.0000 4.2766 0.0000 0.0000 0.0000 10.4098" Properties=species:S:1:pos:R:3 pbc="T T T"
Dy 0.0000 2.1383 2.5783
Dy 2.1383 0.0000 7.8314
Ge 0.0000 0.0000 5.2049
Ge 0.0000 2.1383 8.9522
Ge 2.1383 0.0000 1.4576
Ge 2.1383 2.1383 5.2049
Pd 0.0000 0.0000 0.0000
Pd 0.0000 2.1383 6.5432
Pd 2.1383 0.0000 3.8665
Au 2.1383 2.1383 0.0000
```

Results
* crystal system: tetragonal
* density of states at the Fermi level: 0.4068 states/eV per atom
* energy relative to the elements: -0.6985 eV/atom
* DFT total energy: -5.351 eV per atom

# 13
A plane-wave DFT calculation with PBE was carried out for crystalline CaAsRu2 at its relaxed geometry.

Structure (extended XYZ):
```
4
Lattice="-1.5470 2.2668 4.7875 1.5470 -2.2668 4.7875 1.5470 2.2668 -4.7875" Properties=species:S:1:pos:R:3 pbc="T T T"
Ca 0.0000 0.0000 0.0000
As 0.0000 2.2668 2.1726
Ru 1.5470 0.0000 2.6509
Ru 0.0000 0.0000 4.9695
```

Results
* crystal system: orthorhombic
* density of states at the Fermi level: 1.1866 states/eV per atom
* energy relative to the elements: 0.0967 eV/atom
* DFT total energy: -6.204 eV per atom

# 14
A plane-wave DFT calculation with PBE was carried out for crystalline LiBe3S at its relaxed geometry.

Structure (extended XYZ):
```
5
Lattice="4.1277 0.0000 0.0000 0.0000 4.1277 0.0000 0.0000 0.0000 4.1277" Properties=species:S:1:pos:R:3 pbc="T T T"
Li 0.0000 0.0000 0.0000
Be 0.0000 2.0639 2.0639
Be 2.0639 0.0000 2.0639
Be 2.0639 2.0639 0.0000
S 2.0639 2.0639 2.0639
```

Results
* crystal system: cubic
* density of states at the Fermi level: 0.5226 states/eV per atom
* DFT total energy: -2.727 eV per atom
* ΔE_f (raw): 717 meV per atom

# 15
A plane-wave DFT calculation with PBE was carried out for crystalline TlSb2Br at its relaxed geometry.

Structure (extended XYZ):
```
4
Lattice="0.0000 3.8033 3.8033 3.8033 0.0000 3.8033 3.8033 3.8033 0.0000" Properties=species:S:1:pos:R:3 pbc="T T T"
Tl 0.0000 0.0000 0.0000
Sb 1.9016 1.9016 1.9016
Sb 5.7049 5.7049 5.7049
Br 3.8033 3.8033 3.8033
```

Results
* crystal system: cubic
* density of states at the Fermi level: 0.5553 states/eV per atom
* DFT total energy: -2.860 eV per atom
* ΔE_f (raw): 211 meV per atom

# 16
A plane-wave DFT calculation with PBE was carried out for crystalline BaHg3Au8 at its relaxed geometry.

Structure (extended XYZ):
```
12
Lattice="5.0091 -2.8754 0.0000 5.0091 2.8754 0.0000 -3.4216 0.0000 9.1866" Properties=species:S:1:pos:R:3 pbc="T T T"
Ba 0.0000 0.0000 0.0000
Hg 3.3129 0.0000 1.4571
Hg 3.2975 0.0000 4.6626
Hg 6.6218 0.0000 5.6043
Au -0.0509 0.0000 5.1498
Au 4.1051 1.4373 7.3939
Au 1.6210 0.0000 7.3726
Au 5.8207 1.4241 2.9203
Au 6.6898 0.0000 0.5759
Au 4.1051 -1.4373 7.3939
Au 5.8207 -1.4241 2.9203
Au 8.3102 0.0000 2.9185
```

Results
* crystal system: monoclinic
* density of states at the Fermi level: 0.4022 states/eV per atom
* energy relative to the elements: -0.1723 eV/atom
* DFT total energy: -2.593 eV per atom

# 17
A plane-wave DFT calculation with PBE was carried out for crystalline Ta3Cr2Rh at its relaxed geometry.

Structure (extended XYZ):
```
6
Lattice="3.1256 0.0000 0.0000 0.0000 3.1256 0.0000 0.0000 0.0000 9.4028" Properties=species:S:1:pos:R:3 pbc="T T T"
Ta 0.0000 0.0000 0.0000
Ta 0.0000 0.0000 3.0189
Ta 0.0000 0.0000 6.3839
Cr 1.5628 1.5628 1.5783
Cr 1.5628 1.5628 7.8245
Rh 1.5628 1.5628 4.7014
```

Results
* crystal system: tetragonal
* density of states at the Fermi level: 0.7766 states/eV per atom
* energy relative to the elements: -0.2073 eV/atom
* DFT total energy: -10.567 eV per atom

# 18
A plane-wave DFT calculation with PBE was carried out for crystalline CeY4As5 at its relaxed geometry.

Structure (extended XYZ):
```
10
Lattice="-4.6295 4.6295 2.9298 4.6295 -4.6295 2.9298 4.6295 4.6295 -2.9298" Properties=species:S:1:pos:R:3 pbc="T T T"
Ce 0.0000 0.0000 0.0000
Y 5.5603 1.8421 0.0000
Y 1.8421 3.6986 0.0000
Y 2.7874 0.9308 2.9298
Y -0.9308 2.7874 2.9298
As 2.7814 0.9229 0.0000
As 3.7066 -1.8480 2.9298
As 0.0000 0.0000 2.9298
As 0.9229 6.4775 0.0000
As 1.8480 3.7066 2.9298
```

Results
* crystal system: tetragonal
* density of states at the Fermi level: 0.5885 states/eV per atom
* energy relative to the elements: -1.5337 eV/atom
* DFT total energy: -7.037 eV per atom

# 19
A plane-wave DFT calculation with PBE was carried out for crystalline KZr2Rh at its relaxed geometry.

Structure (extended XYZ):
```
4
Lattice="4.7676 0.0000 0.0000 0.0000 4.7676 0.0000 0.0000 0.0000 3.8018" Properties=species:S:1:pos:R:3 pbc="T T T"
K 0.0000 0.0000 0.0000
Zr 0.0000 2.3838 1.9009
Zr 2.3838 0.0000 1.9009
Rh 2.3838 2.3838 0.0000
```

Results
* crystal system: tetragonal
* density of states at the Fermi level: 0.9092 states/eV per atom
* energy relative to the elements: 0.6760 eV/atom
* DFT total energy: -5.710 eV per atom

# 20
A plane-wave DFT calculation with PBE was carried out for crystalline LiMoPt4 at its relaxed geometry.

Structure (extended XYZ):
```
6
Lattice="4.6369 -1.3707 0.0000 4.6369 1.3707 0.0000 -3.4473 0.0000 7.1642" Properties=species:S:1:pos:R:3 pbc="T T T"
Li 0.0000 0.0000 0.0000
Mo -1.7236 0.0000 3.5821
Pt 2.4772 0.0000 1.1948
Pt 0.8291 0.0000 4.7805
Pt 4.9974 0.0000 2.3838
Pt 3.3493 0.0000 5.9694
```

Results
* crystal system: monoclinic
* density of states at the Fermi level: 0.7254 states/eV per atom
* energy relative to the elements: -0.3615 eV/atom
* DFT total energy: -6.513 eV per atom